1.
Compound: KCd2IrO5
Source: Alexandria via LeMat-Bulk
Functional: PBE
Structure: relaxed

Cell: 3.720 5.975 6.709 Å, 116.44 106.09 90.00°
Fractional coordinates of all 9 atoms:
K 0.000 0.500 0.000
Cd 0.229 0.229 0.458
Cd 0.771 0.771 0.542
Ir 0.500 0.000 0.000
O 0.637 0.918 0.273
O 0.363 0.082 0.727
O 0.363 0.645 0.727
O 0.637 0.355 0.273
O 0.000 0.000 0.000

## Properties
**E**: -4.96 eV/atom
**Calculated volume**: 126.9 Å³/cell



2.
Compound: KCdPIr
Source: Alexandria via LeMat-Bulk
Functional: PBE
Structure: relaxed

Cell: 4.004 4.004 12.783 Å, 90.00 90.00 90.00°
Fractional coordinates of all 8 atoms:
K 0.750 0.750 0.246
K 0.250 0.250 0.754
Cd 0.250 0.750 0.500
Cd 0.750 0.250 0.500
P 0.750 0.750 0.900
P 0.250 0.250 0.100
Ir 0.750 0.250 0.000
Ir 0.250 0.750 0.000

## Properties
**Formation enthalpy at 0 K**: -1.6 eV per formula unit
**Calculated volume**: 204.9 Å³/cell



3.
Compound: KCd2IrPb
Source: Alexandria via LeMat-Bulk
Functional: PBE
Structure: relaxed

Cell: 5.372 5.188 5.372 Å, 90.00 90.00 90.00°
Fractional coordinates of all 5 atoms:
Pb 0.000 0.500 0.000
K 0.500 0.500 0.500
Ir 0.000 0.000 0.000
Cd 0.000 0.000 0.500
Cd 0.500 0.000 0.000

## Properties
**Formation enthalpy at 0 K**: -0.2 eV per formula unit
**Calculated volume**: 149.7 Å³/cell



4.
Compound: KCd2ReIr
Source: Alexandria via LeMat-Bulk
Functional: PBE
Structure: relaxed

Cell: 5.384 4.725 5.384 Å, 90.00 90.00 90.00°
Fractional coordinates of all 5 atoms:
Re 0.000 0.000 0.000
K 0.500 0.500 0.500
Ir 0.000 0.500 0.000
Cd 0.000 0.000 0.500
Cd 0.500 0.000 0.000

## Properties
**Formation enthalpy at 0 K**: 3.7 eV per formula unit
**Calculated volume**: 137.0 Å³/cell



5.
Compound: KCd2SbIr
Source: Alexandria via LeMat-Bulk
Functional: PBE
Structure: relaxed

Cell: 5.338 5.338 5.100 Å, 90.00 90.00 90.00°
Fractional coordinates of all 5 atoms:
Sb 0.000 0.000 0.500
K 0.500 0.500 0.500
Ir 0.000 0.000 0.000
Cd 0.000 0.500 0.000
Cd 0.500 0.000 0.000

## Properties
**E**: -3.26 eV/atom
**Calculated volume**: 145.3 Å³/cell



6.
Compound: KCd2SnIr
Source: Alexandria via LeMat-Bulk
Functional: PBE
Structure: relaxed

Cell: 5.359 5.359 5.055 Å, 90.00 90.00 90.00°
Fractional coordinates of all 5 atoms:
K 0.500 0.500 0.500
Ir 0.000 0.000 0.000
Sn 0.000 0.000 0.500
Cd 0.000 0.500 0.000
Cd 0.500 0.000 0.000

## Properties
**Formation enthalpy at 0 K**: -0.7 eV per formula unit
**Calculated volume**: 145.2 Å³/cell



7.
Compound: KSrCd2Ir
Source: Alexandria via LeMat-Bulk
Functional: PBE
Structure: relaxed

Cell: 5.420 5.420 5.577 Å, 90.00 90.00 90.00°
Fractional coordinates of all 5 atoms:
Sr 0.000 0.000 0.500
K 0.500 0.500 0.500
Ir 0.000 0.000 0.000
Cd 0.000 0.500 0.000
Cd 0.500 0.000 0.000

## Properties
**Formation enthalpy at 0 K**: -0.2 eV per formula unit
**Calculated volume**: 163.8 Å³/cell



8.
Compound: KSr2CdIr
Source: Alexandria via LeMat-Bulk
Functional: PBE
Structure: relaxed

Cell: 5.834 5.834 5.520 Å, 90.00 90.00 90.00°
Fractional coordinates of all 5 atoms:
Sr 0.000 0.500 0.000
Sr 0.500 0.000 0.000
K 0.500 0.500 0.500
Ir 0.000 0.000 0.000
Cd 0.000 0.000 0.500

## Properties
**Formation enthalpy at 0 K**: -0.4 eV per formula unit
**Calculated volume**: 187.9 Å³/cell



9.
Compound: KTa2CdIr
Source: Alexandria via LeMat-Bulk
Functional: PBE
Structure: relaxed

Cell: 4.569 4.958 4.569 Å, 90.00 90.00 90.00°
Fractional coordinates of all 5 atoms:
Cd 0.000 0.500 0.000
K 0.000 0.000 0.000
Ir 0.500 0.500 0.500
Ta 0.000 0.000 0.500
Ta 0.500 0.000 0.000

## Properties
**Formation enthalpy at 0 K**: 14.6 eV per formula unit
**Calculated volume**: 103.5 Å³/cell



10.
Compound: KTl2CdIr
Source: Alexandria via LeMat-Bulk
Functional: PBE
Structure: relaxed

Cell: 5.309 5.309 5.392 Å, 90.00 90.00 90.00°
Fractional coordinates of all 5 atoms:
Tl 0.000 0.500 0.000
Tl 0.500 0.000 0.000
Ir 0.000 0.000 0.000
K 0.500 0.500 0.500
Cd 0.000 0.000 0.500

## Properties
**Formation enthalpy at 0 K**: -0.2 eV per formula unit
**Calculated volume**: 152.0 Å³/cell



11.
Compound: KTlCd2Ir
Source: Alexandria via LeMat-Bulk
Functional: PBE
Structure: relaxed

Cell: 5.335 5.335 5.262 Å, 90.00 90.00 90.00°
Fractional coordinates of all 5 atoms:
Tl 0.000 0.000 0.500
Ir 0.000 0.000 0.000
K 0.500 0.500 0.500
Cd 0.000 0.500 0.000
Cd 0.500 0.000 0.000

## Properties
**Formation enthalpy at 0 K**: -0.3 eV per formula unit
**Calculated volume**: 149.8 Å³/cell



12.
Compound: La4Cd2Ir
Source: Alexandria via LeMat-Bulk
Functional: PBE
Structure: relaxed

Cell: 5.580 5.580 8.885 Å, 71.70 71.70 90.00°
Fractional coordinates of all 7 atoms:
Cd 0.620 0.620 0.760
Cd 0.380 0.380 0.240
Ir 0.000 0.000 0.000
La 0.819 0.819 0.363
La 0.181 0.181 0.637
La 0.000 0.500 0.000
La 0.500 0.000 0.000

## Properties
**Formation enthalpy at 0 K**: -2.0 eV per formula unit
**Polymorph energy (0 for the lowest one)**: 32 meV/atom
**Calculated volume**: 247.9 Å³/cell



13.
Compound: La4CdIr
Source: Alexandria via LeMat-Bulk
Functional: PBE
Structure: relaxed

Cell: 10.125 10.125 10.125 Å, 60.00 60.00 60.00°
Fractional coordinates of all 24 atoms:
La 0.597 0.597 0.597
La 0.597 0.597 0.208
La 0.597 0.208 0.597
La 0.208 0.597 0.597
La 0.059 0.441 0.441
La 0.441 0.059 0.059
La 0.441 0.059 0.441
La 0.059 0.441 0.059
La 0.441 0.441 0.059
La 0.059 0.059 0.441
La 0.190 0.810 0.810
La 0.810 0.190 0.190
La 0.810 0.190 0.810
La 0.190 0.810 0.190
La 0.810 0.810 0.190
La 0.190 0.190 0.810
Cd 0.829 0.829 0.829
Cd 0.829 0.829 0.512
Cd 0.829 0.512 0.829
Cd 0.512 0.829 0.829
Ir 0.391 0.391 0.391
Ir 0.391 0.391 0.827
Ir 0.391 0.827 0.391
Ir 0.827 0.391 0.391

## Properties
**Formation enthalpy at 0 K**: -2.8 eV per formula unit
**Polymorph energy (0 for the lowest one)**: 0 meV/atom
**Calculated volume**: 734.0 Å³/cell



14.
Compound: LaCdIr3
Source: Alexandria via LeMat-Bulk
Functional: PBE
Structure: relaxed

Cell: 4.978 4.978 4.978 Å, 90.00 90.00 90.00°
Fractional coordinates of all 5 atoms:
Cd 0.500 0.500 0.500
Ir 0.000 0.500 0.000
Ir 0.000 0.000 0.500
Ir 0.500 0.000 0.000
La 0.000 0.000 0.000

## Properties
**Formation enthalpy at 0 K**: 8.7 eV per formula unit
**Polymorph energy (0 for the lowest one)**: 667 meV/atom
**Calculated volume**: 123.4 Å³/cell



15.
Compound: La5Cd2Ir2
Source: Alexandria via LeMat-Bulk
Functional: PBE
Structure: relaxed

Cell: 8.160 7.814 9.254 Å, 114.97 90.00 90.00°
Fractional coordinates of all 18 atoms:
La 0.000 0.000 0.000
La 0.500 0.500 0.000
La 0.828 0.783 0.232
La 0.172 0.449 0.232
La 0.328 0.949 0.232
La 0.672 0.283 0.232
La 0.172 0.217 0.768
La 0.828 0.551 0.768
La 0.672 0.051 0.768
La 0.328 0.717 0.768
Cd 0.000 0.217 0.433
Cd 0.500 0.717 0.433
Cd 0.000 0.783 0.567
Cd 0.500 0.283 0.567
Ir 0.632 0.865 0.000
Ir 0.368 0.135 0.000
Ir 0.132 0.635 0.000
Ir 0.868 0.365 0.000

## Properties
**Formation enthalpy at 0 K**: -4.6 eV per formula unit
**Calculated volume**: 534.9 Å³/cell



16.
Compound: LaCd2Ir2
Source: Alexandria via LeMat-Bulk
Functional: PBE
Structure: relaxed

Cell: 4.278 4.278 6.771 Å, 71.58 71.58 90.00°
Fractional coordinates of all 5 atoms:
Cd 0.750 0.250 0.500
Cd 0.250 0.750 0.500
Ir 0.399 0.399 0.201
Ir 0.601 0.601 0.799
La 0.000 0.000 0.000

## Properties
**Formation enthalpy at 0 K**: -1.4 eV per formula unit
**Polymorph energy (0 for the lowest one)**: 0 meV/atom
**Calculated volume**: 110.9 Å³/cell



17.
Compound: La2CdIr2
Source: Alexandria via LeMat-Bulk
Functional: PBE
Structure: relaxed

Cell: 4.043 4.043 8.838 Å, 76.78 76.78 90.00°
Fractional coordinates of all 5 atoms:
Cd 0.000 0.000 0.000
Ir 0.750 0.250 0.500
Ir 0.250 0.750 0.500
La 0.370 0.370 0.260
La 0.630 0.630 0.740

## Properties
**Formation enthalpy at 0 K**: -1.5 eV per formula unit
**Calculated volume**: 136.7 Å³/cell



18.
Compound: LaCdIr3
Source: Alexandria via LeMat-Bulk
Functional: PBE
Structure: relaxed

Cell: 4.898 4.898 4.898 Å, 90.00 90.00 90.00°
Fractional coordinates of all 5 atoms:
Cd 0.000 0.000 0.000
Ir 0.000 0.500 0.000
Ir 0.000 0.000 0.500
Ir 0.500 0.000 0.000
La 0.500 0.500 0.500

## Properties
**Formation enthalpy at 0 K**: 5.4 eV per formula unit
**Polymorph energy (0 for the lowest one)**: 0 meV/atom
**Calculated volume**: 117.5 Å³/cell



19.
Compound: LaCd2Ir2
Source: Alexandria via LeMat-Bulk
Functional: PBE
Structure: relaxed

Cell: 4.816 4.816 5.939 Å, 66.08 66.08 90.00°
Fractional coordinates of all 5 atoms:
Cd 0.365 0.365 0.271
Cd 0.635 0.635 0.729
Ir 0.750 0.250 0.500
Ir 0.250 0.750 0.500
La 0.000 0.000 0.000

## Properties
**Formation enthalpy at 0 K**: 0.2 eV per formula unit
**Polymorph energy (0 for the lowest one)**: 316 meV/atom
**Calculated volume**: 112.8 Å³/cell



20.
Compound: La2Cd2Ir
Source: Alexandria via LeMat-Bulk
Functional: PBE
Structure: relaxed

Cell: 7.317 7.317 4.872 Å, 90.00 90.00 90.00°
Fractional coordinates of all 10 atoms:
Cd 0.363 0.863 0.000
Cd 0.863 0.637 0.000
Cd 0.637 0.137 0.000
Cd 0.137 0.363 0.000
Ir 0.000 0.000 0.000
Ir 0.500 0.500 0.000
La 0.174 0.674 0.500
La 0.674 0.826 0.500
La 0.826 0.326 0.500
La 0.326 0.174 0.500

## Properties
**Formation enthalpy at 0 K**: -0.5 eV per formula unit
**Calculated volume**: 260.8 Å³/cell